# PBE-GGA LiCaTa, optimized geometry
data_LiCaTa
_chemical_formula_sum 'Li4 Ca4 Ta4'
_cell_length_a 6.7182
_cell_length_b 6.7182
_cell_length_c 6.7182
_cell_angle_alpha 90.00
_cell_angle_beta 90.00
_cell_angle_gamma 90.00
_space_group_name_H-M_alt 'F -4 3 m'
_space_group_IT_number 216
_space_group_name_Hall 'F -4 2 3'
loop_
_atom_site_label
_atom_site_type_symbol
_atom_site_fract_x
_atom_site_fract_y
_atom_site_fract_z
Li1 Li 0.0000 0.0000 0.0000
Ca1 Ca 0.2500 0.2500 0.2500
Ta1 Ta 0.2500 0.2500 0.7500
# Polymorph energy (0 for the lowest one) in eV/atom: 1.168
# Calculated formation energy in eV/atom: 1.412